Density functional theory data (PBE-GGA) for a relaxed structure of NpMn4P12.

Output
For the energy relative to the elements, the calculation gives -0.430 eV per atom.

Lattice parameters (Å, degrees): 6.836 6.836 6.836 109.47 109.47 109.47
Positions (direct):
Np1 0.000 0.000 0.000
Mn1 0.000 0.000 0.500
Mn2 0.000 0.500 0.000
Mn3 0.500 0.000 0.000
Mn4 0.500 0.500 0.500
P1 0.147 0.350 0.497
P2 0.147 0.650 0.796
P3 0.204 0.853 0.350
P4 0.350 0.204 0.853
P5 0.350 0.497 0.147
P6 0.497 0.147 0.350
P7 0.503 0.853 0.650
P8 0.650 0.503 0.853
P9 0.650 0.796 0.147
P10 0.796 0.147 0.650
P11 0.853 0.350 0.204
P12 0.853 0.650 0.503